This record from the Alexandria database describes TaMo3P after structural relaxation. The functional is PBE-GGA.

Raw total energy   -47.5 eV/cell
DOS(E_F)   8.9 states/eV/cell
Offset from the most stable computed form   0.000 eV/f.u.
Theoretical density   9.5 Mg/m³
Formation energy from the elements   0.45 eV/atom
Crystal system   cubic

Lattice parameters (Å, degrees): 4.4382 4.4382 4.4382 90.00 90.00 90.00
Closest atoms and distances in Å follow each position.
Fractional positions:
Mo 0.0000 0.0000 0.5000  2 P 2.22
Mo 0.5000 0.0000 0.0000  2 P 2.22
Mo 0.0000 0.5000 0.0000  2 P 2.22
P 0.0000 0.0000 0.0000  6 Mo 2.22
Ta 0.5000 0.5000 0.5000  12 Mo 3.14


This record from the Alexandria database describes Ta2MoP after structural relaxation. The functional is PBE-GGA.

Raw total energy   -40.7 eV/cell
DOS(E_F)   3.3 states/eV/cell
Theoretical density   12.6 Mg/m³
Formation energy from the elements   -0.19 eV/atom
Crystal system   tetragonal

Lattice parameters (Å, degrees): 3.3393 3.3393 5.7836 90.00 90.00 90.00
Closest atoms and distances in Å follow each position.
Fractional positions:
Ta 0.5000 0.5000 0.2573  4 Mo 2.79, 2 P 2.87-2.92, 4 Ta 2.87
Ta 0.0000 0.0000 0.9749  1 Mo 2.66, 4 P 2.69, 4 Ta 2.87
Mo 0.0000 0.0000 0.5151  5 Ta 2.66-2.79, 4 P 2.73
P 0.5000 0.5000 0.7528  6 Ta 2.69-2.92, 4 Mo 2.73


This record from the Alexandria database describes TaMoP2 after structural relaxation. The functional is PBE-GGA.

Raw total energy   -33.7 eV/cell
DOS(E_F)   1.7 states/eV/cell
Offset from the most stable computed form   2.205 eV/f.u.
Theoretical density   7.6 Mg/m³
Formation energy from the elements   -0.05 eV/atom
Crystal system   orthorhombic

Lattice parameters (Å, degrees): 2.8396 2.8396 9.6432 90.00 90.00 107.71
Closest atoms and distances in Å follow each position.
Fractional positions:
P 0.0000 0.0000 0.9301  2 Mo 2.45
P 0.5000 0.5000 0.3147  2 Ta 2.52
Ta 0.0000 0.0000 0.5097  2 P 2.52
Mo 0.5000 0.5000 0.7454  2 P 2.45


This record from the Alexandria database describes TaMo2P after structural relaxation. The functional is PBE-GGA.

Raw total energy   -39.4 eV/cell
DOS(E_F)   2.5 states/eV/cell
Theoretical density   10.8 Mg/m³
Formation energy from the elements   -0.12 eV/atom
Crystal system   tetragonal

Lattice parameters (Å, degrees): 3.2480 3.2480 5.9094 90.00 90.00 90.00
Closest atoms and distances in Å follow each position.
Fractional positions:
P 0.0000 0.0000 0.5049  4 Ta 2.62, 5 Mo 2.74-2.83
Ta 0.5000 0.5000 0.7185  4 P 2.62, 5 Mo 2.77-2.93
Mo 0.5000 0.5000 0.2505  4 Mo 2.65, 4 P 2.74, 1 Ta 2.77
Mo 0.0000 0.0000 0.0262  4 Mo 2.65, 1 P 2.83, 4 Ta 2.93